DFT (SCAN) results for MnMoPb at its PBEsol-relaxed geometry.

Values from the calculation:
Spin magnetization: 2.09 μB/f.u.
DFT total energy: -507.73 eV/cell
Energy of formation: 663 meV/atom
V: 20.5 Å³ per atom

Cell lengths 6.2641, 6.2641, 6.2641 Å; angles 90.00, 90.00, 90.00 degrees
Space group F-43m (No. 216)
Symmetry-distinct sites (fractional):
Mn 0.0000 0.0000 0.0000 [4 per cell]
Mo 0.2500 0.2500 0.7500 [4 per cell]
Pb 0.0000 0.0000 0.5000 [4 per cell]